Material: Pm3Al2VO9
Method: DFT, GGA+U
State: relaxed

The structure in POSCAR format:
```
Pm3Al2VO9
1.0
-3.484 2.266 3.405
2.773 -4.352 1.495
4.850 3.902 2.365
O Pm Al V
9 3 2 1
Direct
0.659 0.830 0.324
0.000 0.500 0.000
0.830 0.659 0.676
0.341 0.170 0.676
0.830 0.170 0.676
0.500 0.000 0.000
0.170 0.341 0.324
0.170 0.830 0.324
0.500 0.500 0.000
0.333 0.667 0.674
0.000 0.000 0.000
0.667 0.333 0.326
0.667 0.333 0.838
0.333 0.667 0.162
0.000 0.000 0.500
```

Output
For the density, the calculation gives 6.822 g/cm3. Its total energy is -7.944 eV/atom. As for the total magnetic moment: 2.0 μB/f.u.